# MnGe2F, relaxed, DFT PBE+U
# Energy relative to the lowest polymorph listed for this composition in eV/f.u.: 0.00
# DFT total energy in eV per atom: -4.95
data_MnGe2F
_space_group_name_H-M_alt 'I -4 2 d'
_space_group_IT_number 122
_space_group_name_Hall 'I -4 2bw'
_cell_length_a 9.182
_cell_length_b 9.182
_cell_length_c 4.033
_cell_angle_alpha 90.00
_cell_angle_beta 90.00
_cell_angle_gamma 90.00
loop_
_atom_site_label
_atom_site_type_symbol
_atom_site_fract_x
_atom_site_fract_y
_atom_site_fract_z
Mn1 Mn 0.000 0.000 0.000
Ge1 Ge 0.173 0.250 0.625
F1 F 0.000 0.000 0.500